(1)
DFT (GGA-PBE) results for crystalline CeNdTePb at its relaxed geometry.

symmetry = R3m, No. 160
E_form (uncorrected) = -946 meV per atom

```
CeNdTePb
1.0
4.548 0.000 0.000
2.274 3.939 0.000
2.274 1.313 7.412
Nd Ce Pb Te
1 1 1 1
direct
0.193 0.193 0.422 Nd
0.696 0.696 0.913 Ce
0.443 0.443 0.670 Pb
0.945 0.945 0.166 Te
```

(2)
DFT (GGA-PBE) results for crystalline CeNdTePb at its relaxed geometry.

symmetry = F-43m, No. 216
E_form (uncorrected) = -756 meV per atom

```
CeNdTePb
1.0
-4.934 -2.039 -1.428
-2.085 -4.342 2.710
-4.341 0.662 3.357
Te Nd Ce Pb
1 1 1 1
direct
0.000 0.000 0.000 Te
0.250 0.250 0.250 Nd
0.750 0.750 0.750 Ce
0.500 0.500 0.500 Pb
```

(3)
DFT (GGA-PBE) results for crystalline CeNdThPb at its relaxed geometry.

symmetry = F-43m, No. 216
ΔH_f (0 K) = -0.0370 eV per atom

```
CeNdThPb
1.0
-0.647 -2.348 5.007
4.461 -1.220 3.100
1.073 2.932 4.610
Nd Ce Pb Th
1 1 1 1
direct
0.500 0.500 0.500 Nd
0.000 0.000 0.000 Ce
0.250 0.250 0.250 Pb
0.750 0.750 0.750 Th
```

no.,density of states at the Fermi level (states/eV/cell),electronic total energy (eV per atom),calculated volume (Å³/atom)
1,7.3,-5.334,33.20
2,7.0,-5.144,29.84
3,9.0,-5.494,30.51